--- a ---
Computed, not measured: a relaxed CdSiSeN2 crystal at the PBE-GGA level of DFT.

Cell: 4.1921 4.1921 5.9050 Å, 90.00 90.00 90.00°
Sites, in units of the cell vectors:
1 Cd 0.0000 0.0000 0.0000
2 Si 0.5000 0.5000 0.5000
3 Se 0.0000 0.0000 0.5000
4 N 0.0000 0.5000 0.0000
5 N 0.5000 0.0000 0.0000

Values from the calculation:
- ρ: 3960 kg/m³
- Symmetry: P4/mmm

--- b ---
Computed, not measured: a relaxed CdSiSeN2 crystal at the PBE-GGA level of DFT.

Cell: 3.5843 3.5843 6.2518 Å, 90.00 90.00 90.00°
Sites, in units of the cell vectors:
1 Cd 0.0000 0.0000 0.0000
2 Si 0.5000 0.5000 0.5000
3 Se 0.5000 0.5000 0.0000
4 N 0.0000 0.5000 0.5000
5 N 0.5000 0.0000 0.5000

Values from the calculation:
- ρ: 5116 kg/m³
- Symmetry: P4/mmm

Bottom line: b, by a margin of 1346 meV per atom.

--- a ---
Computed, not measured: a relaxed CdTcSeN2 crystal at the PBE-GGA level of DFT.

Cell: 4.0502 4.0502 5.7013 Å, 90.00 90.00 90.00°
Sites, in units of the cell vectors:
1 Cd 0.0000 0.0000 0.0000
2 Tc 0.5000 0.5000 0.5000
3 Se 0.0000 0.0000 0.5000
4 N 0.0000 0.5000 0.0000
5 N 0.5000 0.0000 0.0000

Values from the calculation:
- ρ: 5635 kg/m³
- Symmetry: P4/mmm

--- b ---
Computed, not measured: a relaxed CdTcSeN2 crystal at the PBE-GGA level of DFT.

Cell: 3.8690 3.8690 5.5411 Å, 90.00 90.00 90.00°
Sites, in units of the cell vectors:
1 Cd 0.0000 0.0000 0.0000
2 Tc 0.5000 0.5000 0.5000
3 Se 0.5000 0.5000 0.0000
4 N 0.0000 0.5000 0.5000
5 N 0.5000 0.0000 0.5000

Values from the calculation:
- ρ: 6354 kg/m³
- Symmetry: P4/mmm

Bottom line: b, by a margin of 1908 meV per atom.